Entry from Alexandria via LeMat-Bulk: an optimized crystal structure of SrGa6Au12 (PBE).

Geometry as POSCAR:
```
SrGa6Au12
1.0
5.985 3.456 3.042
-5.985 3.456 3.042
0.000 -6.911 3.042
Sr Ga Au
1 6 12
Direct
0.000 0.000 0.000
0.277 0.277 0.693
0.277 0.693 0.277
0.307 0.723 0.723
0.693 0.277 0.277
0.723 0.307 0.723
0.723 0.723 0.307
0.118 0.500 0.882
0.118 0.882 0.500
0.136 0.385 0.385
0.385 0.136 0.385
0.385 0.385 0.136
0.500 0.118 0.882
0.500 0.882 0.118
0.615 0.615 0.864
0.615 0.864 0.615
0.864 0.615 0.615
0.882 0.118 0.500
0.882 0.500 0.118
```

Values from the calculation:
Formation energy from the elements (eV per atom): -0.2232
Magnetization (Bohr magnetons per cell): 0.0

Entry from Alexandria via LeMat-Bulk: an optimized crystal structure of La7Hg3N2 (PBE).

Geometry as POSCAR:
```
La7Hg3N2
1.0
2.569 -12.375 0.000
2.569 12.375 0.000
0.000 0.000 5.086
La Hg N
7 3 2
Direct
0.000 0.000 0.000
0.102 0.898 0.500
0.204 0.796 0.000
0.400 0.600 0.000
0.600 0.400 0.000
0.796 0.204 0.000
0.898 0.102 0.500
0.301 0.699 0.500
0.500 0.500 0.500
0.699 0.301 0.500
0.105 0.895 0.000
0.895 0.105 0.000
```

Values from the calculation:
Magnetization (Bohr magnetons per cell): 0.0
Uncorrected formation energy (eV/atom): -0.73

Entry from Alexandria via LeMat-Bulk: an optimized crystal structure of CuRhI2Br (PBE).

Geometry as POSCAR:
```
CuRhI2Br
1.0
5.453 0.000 0.000
0.000 5.453 0.000
0.000 0.000 4.711
Cu Rh I Br
1 1 2 1
Direct
0.000 0.000 0.000
0.500 0.500 0.500
0.000 0.500 0.000
0.500 0.000 0.000
0.000 0.000 0.500
```

Values from the calculation:
Magnetization (Bohr magnetons per cell): 0.0
Uncorrected formation energy (eV/atom): 0.73

Entry from Alexandria via LeMat-Bulk: an optimized crystal structure of CeZnGa2Pt (PBE).

Geometry as POSCAR:
```
CeZnGa2Pt
1.0
-2.096 2.109 5.471
2.096 -2.109 5.471
2.096 2.109 -5.471
Ce Zn Ga Pt
1 1 2 1
Direct
0.000 0.000 0.000
0.241 0.741 0.500
0.605 0.605 0.000
0.748 0.248 0.500
0.380 0.380 0.000
```

Values from the calculation:
Formation energy from the elements (eV per atom): -0.6879
Magnetization (Bohr magnetons per cell): 0.5

Entry from Alexandria via LeMat-Bulk: an optimized crystal structure of AlSi3O (PBE).

Geometry as POSCAR:
```
AlSi3O
1.0
4.708 0.000 0.000
0.000 4.708 0.000
0.000 0.000 4.708
Al Si O
1 3 1
Direct
0.000 0.000 0.000
0.000 0.000 0.500
0.000 0.500 0.000
0.500 0.000 0.000
0.500 0.500 0.500
```

Values from the calculation:
Magnetization (Bohr magnetons per cell): 0.8
Uncorrected formation energy (eV/atom): 1.26
E above lowest polymorph (eV per atom): 1.0895

Entry from Alexandria via LeMat-Bulk: an optimized crystal structure of Er4Zn3Cd (PBE).

Geometry as POSCAR:
```
Er4Zn3Cd
1.0
3.652 0.000 0.000
0.000 4.569 0.000
0.000 0.000 11.339
Er Zn Cd
4 3 1
Direct
0.000 0.000 0.000
0.000 0.500 0.297
0.500 0.000 0.484
0.500 0.500 0.808
0.000 0.500 0.568
0.500 0.000 0.217
0.500 0.500 0.077
0.000 0.000 0.716
```

Values from the calculation:
Formation energy from the elements (eV per atom): -0.2761
Magnetization (Bohr magnetons per cell): 0.0
E above lowest polymorph (eV per atom): 0.0542

Entry from Alexandria via LeMat-Bulk: an optimized crystal structure of TbSn2Ir (PBE).

Geometry as POSCAR:
```
TbSn2Ir
1.0
-2.256 4.807 8.625
2.256 -4.807 8.625
2.256 4.807 -8.625
Tb Sn Ir
4 8 4
Direct
0.205 0.205 0.000
0.232 0.000 0.232
0.768 0.000 0.768
0.795 0.795 0.000
0.080 0.580 0.500
0.140 0.798 0.342
0.417 0.417 0.000
0.456 0.798 0.658
0.544 0.202 0.342
0.583 0.583 0.000
0.860 0.202 0.658
0.920 0.420 0.500
0.103 0.356 0.747
0.391 0.644 0.747
0.609 0.356 0.253
0.897 0.644 0.253
```

Values from the calculation:
Formation energy from the elements (eV per atom): -0.6220
Magnetization (Bohr magnetons per cell): 0.0

Entry from Alexandria via LeMat-Bulk: an optimized crystal structure of LiEuAs (PBE).

Geometry as POSCAR:
```
LiEuAs
1.0
7.452 0.000 0.000
0.000 4.456 0.000
0.000 0.000 7.968
Li Eu As
4 4 4
Direct
0.157 0.250 0.072
0.343 0.750 0.572
0.657 0.250 0.428
0.843 0.750 0.928
0.010 0.250 0.703
0.490 0.750 0.203
0.510 0.250 0.797
0.990 0.750 0.297
0.225 0.750 0.903
0.275 0.250 0.403
0.725 0.750 0.597
0.775 0.250 0.097
```

Values from the calculation:
Formation energy from the elements (eV per atom): -1.0385
Magnetization (Bohr magnetons per cell): 28.0